Here is a relaxed HoHfPa crystal from the Alexandria database. Energies are from PBE-GGA.

Geometry as CIF:
```
data_HoHfPa
_chemical_formula_sum 'Ho3 Hf3 Pa3'
_symmetry_space_group_name_H-M 'P -6 2 m'
_symmetry_Int_Tables_number 189
_symmetry_space_group_name_Hall 'P -6 -2'
_cell_length_a 9.0777
_cell_length_b 9.0777
_cell_length_c 3.2746
_cell_angle_alpha 90.00
_cell_angle_beta 90.00
_cell_angle_gamma 120.00
loop_
_atom_site_label
_atom_site_type_symbol
_atom_site_fract_x
_atom_site_fract_y
_atom_site_fract_z
_atom_site_occupancy
Ho1 Ho 0.0000 0.6425 0.0000 1
Hf1 Hf 0.0000 0.0000 0.0000 1
Hf2 Hf 0.3333 0.6667 0.5000 1
Pa1 Pa 0.0000 0.3129 0.5000 1
```

Summary:
Energy of formation = 0.22 eV per atom